Below is an optimized crystal structure of AcPaH3, with properties calculated at the GGA-PBE level. Values from VASP.

Geometry as Quantum ESPRESSO input:
```
&SYSTEM
  ibrav = 0, nat = 5, ntyp = 3
/
ATOMIC_SPECIES
Pa 231.04 Pa.upf
H 1.01 H.upf
Ac 227.00 Ac.upf
CELL_PARAMETERS angstrom
4.295 0.000 0.000
0.000 4.295 0.000
0.000 0.000 4.295
ATOMIC_POSITIONS angstrom
Pa 0.000 0.000 0.000
H 2.147 0.000 0.000
H 0.000 0.000 2.147
Ac 2.147 2.147 2.147
H 0.000 2.147 0.000
```

Results
Total energy, eV/cell: -24.23
Magnetic moment, Bohr magnetons per cell: 0.000